[1]
A relaxed structure of MoRu3, computed with PBEsol.

E_tot in eV/atom: -10.565
D(E_F) in states/eV per cell: 22.5
V in Å³/cell: 330.9
ΔH_f (0 K) in eV/atom: 0.007
Offset from the most stable computed form in meV per atom: 62.5

Unit cell a=5.406 b=13.061 c=4.687 alpha=90.00 beta=90.00 gamma=90.00
Fractional coordinates of all 24 atoms:
Mo 0.250 0.088 0.163
Mo 0.250 0.412 0.163
Mo 0.250 0.750 0.505
Mo 0.750 0.250 0.495
Mo 0.750 0.588 0.837
Mo 0.750 0.912 0.837
Ru 0.001 0.750 0.001
Ru 0.002 0.585 0.335
Ru 0.002 0.915 0.335
Ru 0.250 0.250 0.504
Ru 0.250 0.584 0.838
Ru 0.250 0.916 0.838
Ru 0.498 0.585 0.335
Ru 0.498 0.915 0.335
Ru 0.499 0.750 0.001
Ru 0.501 0.250 0.999
Ru 0.502 0.085 0.665
Ru 0.502 0.415 0.665
Ru 0.750 0.084 0.162
Ru 0.750 0.416 0.162
Ru 0.750 0.750 0.496
Ru 0.998 0.085 0.665
Ru 0.998 0.415 0.665
Ru 0.999 0.250 0.999

---

[2]
A relaxed structure of Cs2SrGaBi, computed with PBEsol.

E_tot in eV/atom: -1.664
D(E_F) in states/eV per cell: 5.5
V in Å³/cell: 273.0
ΔH_f (0 K) in eV/atom: 0.606

Unit cell a=6.946 b=6.946 c=5.657 alpha=90.00 beta=90.00 gamma=90.00
Fractional coordinates of all 5 atoms:
Cs 0.000 0.500 0.000
Cs 0.500 0.000 0.000
Sr 0.000 0.000 0.000
Ga 0.000 0.000 0.500
Bi 0.500 0.500 0.500

---

[3]
A relaxed structure of CaMg2Pb, computed with PBEsol.

E_tot in eV/atom: -2.610
D(E_F) in states/eV per cell: 2.9
V in Å³/cell: 209.6
ΔH_f (0 K) in eV/atom: -0.218
Offset from the most stable computed form in meV per atom: 0.0

Unit cell a=4.648 b=4.648 c=9.704 alpha=90.00 beta=90.00 gamma=90.00
Fractional coordinates of all 8 atoms:
Ca 0.000 0.000 0.000
Ca 0.500 0.500 0.500
Mg 0.000 0.500 0.250
Mg 0.000 0.500 0.750
Mg 0.500 0.000 0.250
Mg 0.500 0.000 0.750
Pb 0.000 0.000 0.500
Pb 0.500 0.500 0.000

---

[4]
A relaxed structure of AlBiW2O8, computed with PBEsol.

E_tot in eV/atom: -8.511
E_form (uncorrected) in eV per atom: -2.0125
V in Å³/cell: 294.0

Unit cell a=4.936 b=5.876 c=10.794 alpha=90.00 beta=110.08 gamma=90.00
Fractional coordinates of all 24 atoms:
Al 0.000 0.233 0.250
Al 0.000 0.767 0.750
Bi 0.500 0.368 0.750
Bi 0.500 0.632 0.250
W 0.288 0.132 0.014
W 0.288 0.868 0.514
W 0.712 0.132 0.486
W 0.712 0.868 0.986
O 0.151 0.120 0.590
O 0.151 0.880 0.090
O 0.207 0.335 0.153
O 0.207 0.665 0.653
O 0.294 0.371 0.909
O 0.294 0.629 0.409
O 0.299 0.091 0.369
O 0.299 0.909 0.869
O 0.701 0.091 0.131
O 0.701 0.909 0.631
O 0.706 0.371 0.591
O 0.706 0.629 0.091
O 0.793 0.335 0.347
O 0.793 0.665 0.847
O 0.849 0.120 0.910
O 0.849 0.880 0.410